The following is a DFT calculation (PBE+U) of a relaxed Ba4Sr2Gd2Co4O15 crystal.

Computed properties:
Total magnetic moment = 0.264 μB per atom
Space-group type = P1
Final energy = -7.207 eV/atom

Cell and atoms, written as CIF:
```
data_Ba4Sr2Gd2Co4O15
_chemical_formula_sum 'Ba8 Sr4 Gd4 Co8 O30'
_space_group_name_H-M_alt 'P 1'
_space_group_IT_number 1
_cell_length_a 6.862
_cell_length_b 11.715
_cell_length_c 11.724
_cell_angle_alpha 119.75
_cell_angle_beta 90.15
_cell_angle_gamma 90.92
loop_
_space_group_symop_operation_xyz
'x,y,z'
loop_
_atom_site_label
_atom_site_fract_x
_atom_site_fract_y
_atom_site_fract_z
O1 0.336 0.755 0.255
O2 0.672 0.578 0.418
O3 0.515 0.065 0.393
O4 0.026 0.666 0.059
O5 0.573 0.603 0.939
O6 0.840 0.258 0.754
O7 0.039 0.664 0.609
O8 0.550 0.605 0.662
O9 0.749 0.079 0.893
O10 0.839 0.497 0.744
O11 0.166 0.178 0.587
O12 0.746 0.102 0.187
O13 0.339 0.501 0.260
O14 0.165 0.419 0.586
O15 0.837 0.260 0.500
O16 0.529 0.337 0.402
O17 0.157 0.416 0.825
O18 0.055 0.932 0.596
O19 0.036 0.404 0.341
O20 0.242 0.186 0.102
O21 0.240 0.900 0.080
O22 0.679 0.581 0.168
O23 0.715 0.820 0.912
O24 0.653 0.830 0.417
O25 0.022 0.393 0.065
O26 0.342 0.745 0.505
O27 0.542 0.328 0.935
O28 0.233 0.915 0.822
O29 0.046 0.937 0.330
O30 0.516 0.063 0.665
Sr1 0.338 0.524 0.047
Sr2 0.478 0.003 0.001
Sr3 0.978 0.997 0.999
Sr4 0.834 0.050 0.524
Ba1 0.675 0.821 0.170
Ba2 0.991 0.663 0.334
Ba3 0.168 0.172 0.821
Ba4 0.180 0.652 0.827
Ba5 0.482 0.332 0.664
Ba6 0.666 0.348 0.176
Ba7 0.163 0.177 0.349
Ba8 0.676 0.828 0.655
Co1 0.157 0.352 0.174
Co2 0.012 0.334 0.665
Co3 0.674 0.644 0.820
Co4 0.662 0.176 0.821
Co5 0.528 0.666 0.334
Co6 0.655 0.173 0.352
Co7 0.168 0.823 0.649
Co8 0.164 0.823 0.175
Gd1 0.343 0.522 0.478
Gd2 0.839 0.476 0.952
Gd3 0.332 0.951 0.475
Gd4 0.840 0.476 0.524
```